# Pm5Y3In

A relaxed structure of Pm5Y3In (GGA-PBE, the Alexandria database).

```
data_Pm5Y3In
_chemical_formula_sum 'Pm20 Y12 In4'
_cell_length_a 13.7616
_cell_length_b 7.9571
_cell_length_c 11.5071
_cell_angle_alpha 90.00
_cell_angle_beta 96.04
_cell_angle_gamma 90.00
_symmetry_space_group_name_H-M 'C 1 2/m 1'
_symmetry_Int_Tables_number 12
loop_
_symmetry_equiv_pos_as_xyz
'x,y,z'
'-x,-y,-z'
'-x,y,-z'
'x,-y,z'
'x+1/2,y+1/2,z'
'-x+1/2,-y+1/2,-z'
'-x+1/2,y+1/2,-z'
'x+1/2,-y+1/2,z'
loop_
_atom_site_label
_atom_site_fract_x
_atom_site_fract_y
_atom_site_fract_z
Pm1 0.0000 0.1694 0.0000
Pm2 0.0094 0.0000 0.3725
Pm3 0.1242 0.2855 0.7552
Pm4 0.2385 0.5000 0.0380
Y1 0.0000 0.5000 0.0000
Y2 0.0000 0.5000 0.5000
Y3 0.1682 0.0000 0.2177
Y4 0.2413 0.0000 0.5286
In1 0.0948 0.5000 0.2579
```

Summary:
E ... -4.734 eV/atom
Formation enthalpy at 0 K ... 364 meV per atom